Here is a geometry-optimized K2VH2OF5 structure from Alexandria. Energies are from GGA+U.

Its volume is 14.433 A^3/atom. Its total energy is -5.2115 eV per atom.

a b c (Å): 6.4080 6.4082 7.9399
angles (deg): 84.57 84.57 78.89
Positions (direct):
K 0.3036 0.2986 0.0377
K 0.7014 0.6964 0.4623
K 0.6964 0.7014 0.9623
K 0.2986 0.3036 0.5377
H 0.9028 0.1545 0.8443
H 0.0972 0.8455 0.1557
H 0.1544 0.9028 0.3443
H 0.8456 0.0972 0.6557
F 0.8762 0.2819 0.0098
F 0.0124 0.6217 0.6835
F 0.1238 0.7181 0.9902
F 0.4477 0.5523 0.7500
F 0.3782 0.9876 0.8165
F 0.6217 0.0124 0.1835
F 0.7181 0.1238 0.4902
F 0.5523 0.4477 0.2500
F 0.2819 0.8762 0.5098
F 0.9876 0.3783 0.3165
O 0.9418 0.0582 0.7500
O 0.0582 0.9418 0.2500
V 0.2004 0.7996 0.7500
V 0.7996 0.2004 0.2500